1.
# Tm2BeHPt6 (PBE, optimized geometry)
# space group	P-1
# DFT total energy	-6.102	eV/atom
data_Tm2BeHPt6
_chemical_formula_sum 'Tm2 Be1 H1 Pt6'
_cell_length_a 5.706
_cell_length_b 6.423
_cell_length_c 6.401
_cell_angle_alpha 52.96
_cell_angle_beta 63.87
_cell_angle_gamma 90.29
_space_group_name_H-M_alt 'P 1'
_space_group_IT_number 1
_space_group_name_Hall 'P 1'
loop_
_atom_site_label
_atom_site_type_symbol
_atom_site_fract_x
_atom_site_fract_y
_atom_site_fract_z
Tm1 Tm 0.772 0.229 0.455
Tm2 Tm 0.228 0.771 0.545
Be1 Be 0.500 0.500 0.000
H1 H 0.000 0.000 0.000
Pt1 Pt 0.239 0.267 0.521
Pt2 Pt 0.736 0.762 0.025
Pt3 Pt 0.240 0.762 0.026
Pt4 Pt 0.760 0.238 0.974
Pt5 Pt 0.264 0.238 0.975
Pt6 Pt 0.761 0.733 0.479

***

2.
# NaTaBi2O6 (PBE, optimized geometry)
# E_form (uncorrected)	-1.906	eV per atom
# space group	R3
data_NaTaBi2O6
_chemical_formula_sum 'Na1 Ta1 Bi2 O6'
_cell_length_a 5.866
_cell_length_b 5.866
_cell_length_c 6.045
_cell_angle_alpha 60.97
_cell_angle_beta 60.97
_cell_angle_gamma 59.99
_space_group_name_H-M_alt 'P 1'
_space_group_IT_number 1
_space_group_name_Hall 'P 1'
loop_
_atom_site_label
_atom_site_type_symbol
_atom_site_fract_x
_atom_site_fract_y
_atom_site_fract_z
Na1 Na 0.804 0.804 0.587
Ta1 Ta 0.313 0.313 0.060
Bi1 Bi 0.522 0.522 0.435
Bi2 Bi 0.026 0.026 0.921
O1 O 0.574 0.190 0.238
O2 O 0.190 0.998 0.238
O3 O 0.998 0.574 0.238
O4 O 0.419 0.670 0.766
O5 O 0.670 0.145 0.766
O6 O 0.145 0.419 0.766

***

3.
# CaSmCo (PBE, optimized geometry)
# energy above the most stable polymorph in this dataset	0.0	meV/atom
# E_form	-0.0620	eV per atom
# space group	Cmcm
data_CaSmCo
_chemical_formula_sum 'Ca2 Sm2 Co2'
_cell_length_a 3.919
_cell_length_b 3.966
_cell_length_c 11.011
_cell_angle_alpha 100.37
_cell_angle_beta 90.00
_cell_angle_gamma 90.00
_space_group_name_H-M_alt 'P 1'
_space_group_IT_number 1
_space_group_name_Hall 'P 1'
loop_
_atom_site_label
_atom_site_type_symbol
_atom_site_fract_x
_atom_site_fract_y
_atom_site_fract_z
Ca1 Ca 0.250 0.312 0.625
Ca2 Ca 0.750 0.688 0.375
Sm1 Sm 0.250 0.071 0.141
Sm2 Sm 0.750 0.929 0.859
Co1 Co 0.250 0.471 0.943
Co2 Co 0.750 0.529 0.057

***

4.
# Ac2ZnPb3 (PBE, optimized geometry)
# E_form	-0.3447	eV per atom
# space group	Pmm2
data_Ac2ZnPb3
_chemical_formula_sum 'Ac2 Zn1 Pb3'
_cell_length_a 4.577
_cell_length_b 4.782
_cell_length_c 9.081
_cell_angle_alpha 90.00
_cell_angle_beta 90.00
_cell_angle_gamma 90.00
_space_group_name_H-M_alt 'P 1'
_space_group_IT_number 1
_space_group_name_Hall 'P 1'
loop_
_atom_site_label
_atom_site_type_symbol
_atom_site_fract_x
_atom_site_fract_y
_atom_site_fract_z
Ac1 Ac 0.000 0.500 0.009
Ac2 Ac 0.000 0.000 0.496
Zn1 Zn 0.500 0.500 0.330
Pb1 Pb 0.500 0.000 0.844
Pb2 Pb 0.500 0.000 0.189
Pb3 Pb 0.500 0.500 0.633